Computed, not measured: ScCoOs2 after structural relaxation at the PBE-GGA level of DFT.

Cell: 3.8084 3.8084 8.0567 Å, 90.00 90.00 90.00°
Last column: nearest neighbours and their distance in Å.
Space group I4/mmm (No. 139)
Symmetry-distinct sites (fractional):
1 Sc 0.0000 0.0000 0.0000 x2  4 Co 2.69, 8 Os 2.77
2 Co 0.0000 0.0000 0.5000 x2  4 Sc 2.69, 8 Os 2.77
3 Os 0.0000 0.5000 0.2500 x4  4 Os 2.69, 4 Co 2.77, 4 Sc 2.77

Calculated values
Polymorph energy (0 for the lowest one) = 0.158 eV/atom
Magnetic moment = 0.000 μB/atom
E_tot = -8.8617 eV/atom
Formation energy from the elements = 0.113 eV/atom

---

Computed, not measured: RbBi4Te6 after structural relaxation at the PBE-GGA level of DFT.

Cell: 4.7565 14.8811 23.5241 Å, 90.00 90.00 90.00°
Last column: nearest neighbours and their distance in Å.
Space group Cmcm (No. 63)
Symmetry-distinct sites (fractional):
1 Rb 0.0000 0.1504 0.2500 x4  6 Te 3.56-3.73
2 Bi 0.0000 0.0921 0.6331 x8  3 Te 2.99-3.06
3 Bi 0.0000 0.3632 0.5382 x8  6 Te 3.11-3.26
4 Te 0.0000 0.0000 0.0000 x4  6 Bi 3.26-3.42
5 Te 0.0000 0.1715 0.7500 x4  2 Bi 2.99
6 Te 0.0000 0.2594 0.0830 x8  5 Bi 3.18-3.45
7 Te 0.0000 0.4667 0.6528 x8  3 Bi 3.06-3.11

Calculated values
Polymorph energy (0 for the lowest one) = 0.000 eV/atom
Magnetic moment = 0.000 μB/atom
E_tot = -3.5323 eV/atom
Formation energy from raw total energies = -319 meV per atom

---

Computed, not measured: ThCo2Ni4 after structural relaxation at the PBE-GGA level of DFT.

Cell: 6.2726 6.2726 4.8148 Å, 90.00 90.00 90.00°
Last column: nearest neighbours and their distance in Å.
Space group I4/mmm (No. 139)
Symmetry-distinct sites (fractional):
1 Th 0.0000 0.0000 0.0000 x2  12 Ni 2.71-2.96
2 Co 0.0000 0.5000 0.2500 x4  2 Co 2.41, 8 Ni 2.57
3 Ni 0.1950 0.1950 0.5000 x8  4 Ni 2.45-2.60, 4 Co 2.57, 1 Th 2.71

Calculated values
Magnetic moment = 0.573 μB/atom
E_tot = -6.6109 eV/atom
Formation energy from the elements = -0.217 eV/atom

---

- What is the magnetic moment in the first record?
  0.000 μB/atom